[1]
DFT (PBE-GGA) results for a relaxed Nd12Dy2Tm5 crystal.

```
data_Nd12Dy2Tm5
_chemical_formula_sum 'Nd24 Dy4 Tm10'
_symmetry_space_group_name_H-M 'C 1 2/m 1'
_symmetry_Int_Tables_number 12
_cell_length_a 15.113
_cell_length_b 10.620
_cell_length_c 8.095
_cell_angle_alpha 90.00
_cell_angle_beta 93.97
_cell_angle_gamma 90.00
loop_
_symmetry_equiv_pos_as_xyz
'x,y,z'
'-x,-y,-z'
'-x,y,-z'
'x,-y,z'
'x+1/2,y+1/2,z'
'-x+1/2,-y+1/2,-z'
'-x+1/2,y+1/2,-z'
'x+1/2,-y+1/2,z'
loop_
_atom_site_label
_atom_site_type_symbol
_atom_site_fract_x
_atom_site_fract_y
_atom_site_fract_z
Nd1 Nd 0.056 0.000 0.214
Nd2 Nd 0.106 0.228 0.885
Nd3 Nd 0.132 0.500 0.608
Nd4 Nd 0.185 0.276 0.292
Dy1 Dy 0.000 0.230 0.500
Tm1 Tm 0.000 0.500 0.000
Tm2 Tm 0.156 0.000 0.598
Tm3 Tm 0.242 0.500 0.989
```

Summary:
* relative energy among the computed polymorphs: 22 meV/atom
* ΔH_f (0 K): 244 kJ/mol of formula units



[2]
DFT (PBE-GGA) results for a relaxed KInTe2 crystal.

```
data_KInTe2
_chemical_formula_sum 'K1 In1 Te2'
_symmetry_space_group_name_H-M 'P 4 m m'
_symmetry_Int_Tables_number 99
_cell_length_a 4.189
_cell_length_b 4.189
_cell_length_c 8.908
_cell_angle_alpha 90.00
_cell_angle_beta 90.00
_cell_angle_gamma 90.00
loop_
_symmetry_equiv_pos_as_xyz
'x,y,z'
'-y,x,z'
'-x,-y,z'
'y,-x,z'
'-x,y,z'
'y,x,z'
'x,-y,z'
'-y,-x,z'
loop_
_atom_site_label
_atom_site_type_symbol
_atom_site_fract_x
_atom_site_fract_y
_atom_site_fract_z
K1 K 0.000 0.000 0.000
In1 In 0.500 0.500 0.503
Te1 Te 0.000 0.000 0.603
Te2 Te 0.500 0.500 0.190
```

Summary:
* raw formation energy: -0.46 eV/atom



| no. | DOS at the Fermi energy (states/eV/atom) | size of the total moment (μB per formula unit) |
| --- | --- | --- |
| 1 | 1.43 | 0.00 |
| 2 | 0.36 | 0.00 |